i.
The following is a GGA-PBE calculation of a relaxed Nd4IrSe3 crystal, from Alexandria via LeMat-Bulk.

## Properties
- SG: No. 65

abc: 4.1724 7.4173 7.4173
angles: 108.85 90.00 90.00
Closest atoms and distances in Å follow each position.
Positions (direct):
Nd 0.0000 0.7710 0.7710  2 Ir 2.87, 4 Se 3.02-3.13
Se 0.0000 0.0000 0.5000  6 Nd 3.00-3.02
Nd 0.5000 0.2420 0.7580  1 Ir 2.92, 5 Se 3.00-3.11
Nd 0.0000 0.2290 0.2290  2 Ir 2.87, 4 Se 3.02-3.13
Nd 0.5000 0.7580 0.2420  1 Ir 2.92, 5 Se 3.00-3.11
Se 0.5000 0.5000 0.5000  6 Nd 3.11-3.13
Ir 0.5000 0.0000 0.0000  6 Nd 2.87-2.92
Se 0.0000 0.5000 0.0000  6 Nd 3.00-3.02

***

ii.
The following is a GGA-PBE calculation of a relaxed Nd4IrSe3 crystal, from Alexandria via LeMat-Bulk.

## Properties
- SG: No. 59

abc: 5.9530 8.9458 9.8442
angles: 90.00 90.00 90.00
Closest atoms and distances in Å follow each position.
Positions (direct):
Nd 0.0644 0.3190 0.7670  1 Ir 2.76, 4 Se 2.92-3.00
Nd 0.5644 0.1612 0.5000  1 Ir 2.76, 4 Se 2.97-2.98
Nd 0.0644 0.8467 0.5000  3 Se 2.96-3.00, 2 Ir 2.98
Nd 0.5644 0.6810 0.2670  1 Ir 2.76, 4 Se 2.92-3.00
Ir 0.0644 0.1478 0.0000  5 Nd 2.76-2.98
Se 0.5644 0.3465 0.2493  5 Nd 2.97-3.00
Se 0.0644 0.1773 0.5000  5 Nd 2.92-2.98
Se 0.5644 0.8227 0.0000  5 Nd 2.92-2.98
Ir 0.5644 0.8522 0.5000  5 Nd 2.76-2.98
Nd 0.5644 0.1533 0.0000  3 Se 2.96-3.00, 2 Ir 2.98
Nd 0.0644 0.8388 0.0000  1 Ir 2.76, 4 Se 2.97-2.98
Nd 0.5644 0.6810 0.7330  1 Ir 2.76, 4 Se 2.92-3.00
Se 0.0644 0.6535 0.7493  5 Nd 2.97-3.00
Nd 0.0644 0.3190 0.2330  1 Ir 2.76, 4 Se 2.92-3.00
Se 0.5644 0.3465 0.7507  5 Nd 2.97-3.00
Se 0.0644 0.6535 0.2507  5 Nd 2.97-3.00

***

Relative energy of each structure, in meV/atom: i 0; ii 237.